! KBeW GGA-PBE relaxed; values from VASP
! SG: No. 216
! raw total energy: -3.62 eV per atom
! density: 5.49 g cm⁻³
&SYSTEM
  ibrav = 0, nat = 3, ntyp = 3
/
ATOMIC_SPECIES
K 39.10 K.upf
Be 9.01 Be.upf
W 183.84 W.upf
CELL_PARAMETERS angstrom
0.0000 3.2725 3.2725
3.2725 0.0000 3.2725
3.2725 3.2725 0.0000
ATOMIC_POSITIONS angstrom
K 0.0000 0.0000 0.0000
Be 1.6363 1.6363 1.6363
W 3.2725 3.2725 3.2725

---

! AcSmB4 GGA-PBE relaxed; values from VASP
! SG: No. 71
! raw total energy: -6.04 eV per atom
! density: 8.35 g cm⁻³
&SYSTEM
  ibrav = 0, nat = 6, ntyp = 3
/
ATOMIC_SPECIES
Ac 227.00 Ac.upf
Sm 150.36 Sm.upf
B 10.81 B.upf
CELL_PARAMETERS angstrom
-1.6965 2.8835 4.2767
1.6965 -2.8835 4.2767
1.6965 2.8835 -4.2767
ATOMIC_POSITIONS angstrom
Ac 0.0000 0.0000 0.0000
Sm 0.0000 0.0000 4.2767
B 1.6965 -0.9436 2.1515
B 1.6965 0.9436 2.1515
B 0.0000 1.9400 2.1252
B 0.0000 3.8271 2.1252

---

! ZnGaFeAg GGA-PBE relaxed; values from VASP
! SG: No. 216
! raw total energy: -3.75 eV per atom
! density: 8.45 g cm⁻³
&SYSTEM
  ibrav = 0, nat = 4, ntyp = 4
/
ATOMIC_SPECIES
Zn 65.41 Zn.upf
Ga 69.72 Ga.upf
Fe 55.84 Fe.upf
Ag 107.87 Ag.upf
CELL_PARAMETERS angstrom
0.0000 3.0853 3.0853
3.0853 0.0000 3.0853
3.0853 3.0853 0.0000
ATOMIC_POSITIONS angstrom
Zn 0.0000 0.0000 0.0000
Ga 3.0853 3.0853 3.0853
Fe 4.6280 4.6280 4.6280
Ag 1.5427 1.5427 1.5427

---

! Ta4Te16Pd3 GGA-PBE relaxed; values from VASP
! SG: No. 12
! raw total energy: -5.26 eV per atom
! density: 7.99 g cm⁻³
&SYSTEM
  ibrav = 0, nat = 23, ntyp = 3
/
ATOMIC_SPECIES
Ta 180.95 Ta.upf
Te 127.60 Te.upf
Pd 106.42 Pd.upf
CELL_PARAMETERS angstrom
10.8679 -1.8879 0.0000
10.8679 1.8879 0.0000
-8.9973 0.0000 15.6175
ATOMIC_POSITIONS angstrom
Ta -1.3362 0.0000 5.4565
Ta 3.7732 0.0000 1.2797
Ta 8.9652 0.0000 14.3378
Ta 14.0746 0.0000 10.1610
Te -4.7381 0.0000 9.7313
Te 0.0115 0.0000 2.8615
Te -4.0432 0.0000 14.2098
Te 3.7254 0.0000 3.9623
Te 1.0854 0.0000 9.8835
Te 3.5512 0.0000 8.0598
Te -0.1455 0.0000 15.3858
Te 8.3484 0.0000 3.6444
Te 4.3899 0.0000 11.9731
Te 12.8838 0.0000 0.2318
Te 9.1872 0.0000 7.5578
Te 11.6530 0.0000 5.7340
Te 9.0130 0.0000 11.6552
Te 16.7816 0.0000 1.4078
Te 12.7268 0.0000 12.7560
Te 17.4765 0.0000 5.8862
Pd -0.1263 0.0000 12.6223
Pd 6.3692 0.0000 7.8088
Pd 12.8647 0.0000 2.9953

---

! AlTcMo2 GGA-PBE relaxed; values from VASP
! SG: No. 216
! raw total energy: -9.05 eV per atom
! density: 8.69 g cm⁻³
&SYSTEM
  ibrav = 0, nat = 4, ntyp = 3
/
ATOMIC_SPECIES
Al 26.98 Al.upf
Tc 98.00 Tc.upf
Mo 95.94 Mo.upf
CELL_PARAMETERS angstrom
0.0000 3.1166 3.1166
3.1166 0.0000 3.1166
3.1166 3.1166 0.0000
ATOMIC_POSITIONS angstrom
Al 0.0000 0.0000 0.0000
Tc 1.5583 1.5583 1.5583
Mo 3.1166 3.1166 3.1166
Mo 4.6749 4.6749 4.6749

---

! CuHgSbMo GGA-PBE relaxed; values from VASP
! SG: No. 216
! raw total energy: -3.93 eV per atom
! density: 10.11 g cm⁻³
&SYSTEM
  ibrav = 0, nat = 4, ntyp = 4
/
ATOMIC_SPECIES
Cu 63.55 Cu.upf
Hg 200.59 Hg.upf
Sb 121.76 Sb.upf
Mo 95.94 Mo.upf
CELL_PARAMETERS angstrom
0.0000 3.4080 3.4080
3.4080 0.0000 3.4080
3.4080 3.4080 0.0000
ATOMIC_POSITIONS angstrom
Cu 0.0000 0.0000 0.0000
Hg 3.4080 3.4080 3.4080
Sb 5.1120 5.1120 5.1120
Mo 1.7040 1.7040 1.7040

---

! HfGeNO GGA-PBE relaxed; values from VASP
! SG: No. 29
! raw total energy: -8.37 eV per atom
! density: 9.20 g cm⁻³
&SYSTEM
  ibrav = 0, nat = 16, ntyp = 4
/
ATOMIC_SPECIES
Hf 178.49 Hf.upf
Ge 72.64 Ge.upf
N 14.01 N.upf
O 16.00 O.upf
CELL_PARAMETERS angstrom
5.1241 0.0000 0.0000
0.0000 7.4357 0.0000
0.0000 0.0000 5.3256
ATOMIC_POSITIONS angstrom
Hf 0.1993 1.1078 0.0000
Hf 2.3627 1.1078 2.6628
Hf 2.7614 6.3279 0.0000
Hf 4.9248 6.3279 2.6628
Ge 0.1046 2.7451 2.6259
Ge 2.4574 2.7451 5.2887
Ge 2.6667 4.6906 2.6259
Ge 5.0195 4.6906 5.2887
N 0.7458 4.4964 2.6608
N 1.8162 4.4964 5.3236
N 3.3079 2.9393 2.6608
N 4.3783 2.9393 5.3236
O 1.2833 7.1996 1.3342
O 1.2788 7.1996 3.9970
O 3.8453 0.2362 1.3342
O 3.8409 0.2362 3.9970

---

! Ho2O GGA-PBE relaxed; values from VASP
! SG: No. 136
! raw total energy: -6.53 eV per atom
! density: 9.95 g cm⁻³
&SYSTEM
  ibrav = 0, nat = 6, ntyp = 2
/
ATOMIC_SPECIES
Ho 164.93 Ho.upf
O 16.00 O.upf
CELL_PARAMETERS angstrom
5.7356 0.0000 0.0000
0.0000 5.7356 0.0000
0.0000 0.0000 3.5104
ATOMIC_POSITIONS angstrom
Ho 1.1997 1.1997 0.0000
Ho 1.6681 4.0674 1.7552
Ho 4.0674 1.6681 1.7552
Ho 4.5359 4.5359 0.0000
O 0.0000 0.0000 1.7552
O 2.8678 2.8678 0.0000